Record 1
# Zr2CrRh

Zr2CrRh at its PBEsol-relaxed geometry (SCAN, the Alexandria database).

Geometry as extended XYZ:
```
4
Lattice="2.9874 0.0000 0.0000 -1.4937 4.1303 -0.0195 0.0000 -0.8192 5.5294" Properties=species:S:1:pos:R:3 pbc="T T T"
Cr 0.0000 -0.4096 2.7647
Zr 1.4937 1.4338 4.0926
Zr 0.0000 1.8772 1.4173
Rh 1.4937 0.0000 0.0000
```

Calculated values
DFT formation energy = 0.14 kcal/mol of atoms
DOS(E_F) = 3.37 states/eV/cell
total magnetization = 0.229 μB per atom
space group = C2/m (12)


Record 2
# ZrCrRh

ZrCrRh at its PBEsol-relaxed geometry (SCAN, the Alexandria database).

Geometry as extended XYZ:
```
3
Lattice="3.1087 0.0000 0.0000 0.0000 3.1088 0.0000 -1.5544 -1.5544 4.8387" Properties=species:S:1:pos:R:3 pbc="T T T"
Cr 0.0000 -0.0002 0.0681
Rh 1.5544 1.5544 1.5385
Zr 0.0000 0.0002 3.2321
```

Calculated values
DFT formation energy = -5.59 kcal/mol of atoms
DOS(E_F) = 2.32 states/eV/cell
total magnetization = 0.773 μB per atom
space group = I4mm (107)


Record 3
# Zr2CrRh

Zr2CrRh at its PBEsol-relaxed geometry (SCAN, the Alexandria database).

Geometry as extended XYZ:
```
4
Lattice="3.7866 0.0000 0.0000 0.0000 3.7866 0.0000 -1.8933 -1.8933 4.7729" Properties=species:S:1:pos:R:3 pbc="T T T"
Zr 0.0000 0.0000 0.0000
Zr 1.8933 0.0000 2.3865
Cr 1.8933 1.8933 0.0000
Rh 0.0000 1.8933 2.3865
```

Calculated values
DFT formation energy = -6.56 kcal/mol of atoms
DOS(E_F) = 3.71 states/eV/cell
total magnetization = 0.520 μB per atom
space group = I-4m2 (119)


Record 4
# Zr2CrRh

Zr2CrRh at its PBEsol-relaxed geometry (SCAN, the Alexandria database).

Geometry as extended XYZ:
```
4
Lattice="-2.9487 0.2226 -1.2600 0.2542 -3.0003 -1.1250 -2.5189 -2.2733 5.4935" Properties=species:S:1:pos:R:3 pbc="T T T"
Cr -1.3472 -1.3889 -1.1925
Zr -0.6150 -0.5550 1.3413
Zr -1.9039 -1.7182 4.1522
Rh -2.6067 -2.5255 1.5543
```

Calculated values
DFT formation energy = -10.38 kcal/mol of atoms
DOS(E_F) = 2.60 states/eV/cell
total magnetization = 0.239 μB per atom
space group = P4/mmm (123)


Record 5
# CrRu

CrRu at its PBEsol-relaxed geometry (SCAN, the Alexandria database).

Geometry as extended XYZ:
```
4
Lattice="2.7310 0.0000 0.0000 0.0000 4.3611 0.1558 -1.3655 -1.9837 4.0727" Properties=species:S:1:pos:R:3 pbc="T T T"
Ru 0.0000 -0.7339 3.1818
Cr 1.3655 1.4671 2.9889
Cr 0.0000 0.9103 1.2396
Ru 1.3655 3.1113 1.0467
```

Calculated values
DFT formation energy = 1.87 kcal/mol of atoms
DOS(E_F) = 3.30 states/eV/cell
total magnetization = 0.000 μB per atom
space group = C2/m (12)


Record 6
# Cr2Ru

Cr2Ru at its PBEsol-relaxed geometry (SCAN, the Alexandria database).

Geometry as extended XYZ:
```
30
Lattice="4.5458 0.0000 0.0000 0.0000 8.9379 0.0000 0.0000 0.0000 8.9379" Properties=species:S:1:pos:R:3 pbc="T T T"
Cr 2.2729 3.8878 6.7821
Cr 1.1077 6.1345 6.1345
Cr 0.0000 8.3568 6.6248
Ru 0.0000 1.2559 4.8157
Cr 2.2729 0.8714 0.8714
Ru 0.0000 0.0000 0.0000
Cr 0.0000 2.3132 0.5812
Cr 0.0000 0.5812 2.3132
Cr 2.2729 5.0502 2.1558
Ru 2.2729 3.2131 0.3468
Cr 0.0000 3.5976 5.3404
Cr 0.0000 5.3404 3.5976
Ru 0.0000 7.6821 4.1222
Cr 3.4381 6.1345 6.1345
Cr 0.0000 6.6248 8.3568
Ru 0.0000 4.8157 1.2559
Cr 3.3806 1.6655 7.2724
Cr 2.2729 6.7821 3.8878
Cr 3.4381 2.8035 2.8035
Ru 2.2729 4.4690 4.4690
Cr 3.3806 7.2724 1.6655
Cr 1.1652 1.6655 7.2724
Ru 2.2729 8.5912 5.7249
Ru 0.0000 4.1222 7.6821
Cr 2.2729 2.1558 5.0502
Cr 1.1652 7.2724 1.6655
Cr 2.2729 8.0666 8.0666
Ru 2.2729 0.3468 3.2131
Cr 1.1077 2.8035 2.8035
Ru 2.2729 5.7249 8.5912
```

Calculated values
DFT formation energy = 2.01 kcal/mol of atoms
DOS(E_F) = 27.92 states/eV/cell
total magnetization = 0.000 μB per atom
space group = P4_2/mnm (136)


Record 7
# CrRu

CrRu at its PBEsol-relaxed geometry (SCAN, the Alexandria database).

Geometry as extended XYZ:
```
4
Lattice="2.5740 0.0036 0.0000 -1.0264 2.3605 0.0000 0.0000 0.0000 8.2189" Properties=species:S:1:pos:R:3 pbc="T T T"
Cr 1.6739 0.5928 7.3012
Cr -0.1263 1.7713 0.9177
Ru 1.6739 0.5928 2.9614
Ru -0.1263 1.7713 5.2575
```

Calculated values
DFT formation energy = 6.49 kcal/mol of atoms
DOS(E_F) = 4.21 states/eV/cell
total magnetization = 0.272 μB per atom
space group = Cmme (67)


Record 8
# Cr8Ru

Cr8Ru at its PBEsol-relaxed geometry (SCAN, the Alexandria database).

Geometry as extended XYZ:
```
9
Lattice="2.8325 0.0000 0.0000 1.4162 6.0247 0.0000 1.4162 0.0000 6.0247" Properties=species:S:1:pos:R:3 pbc="T T T"
Cr 2.8325 4.0080 4.0080
Cr 2.8325 3.9455 0.0000
Cr 1.4162 4.0080 2.0166
Cr 1.4162 0.0000 2.0792
Cr 2.8325 0.0000 3.9455
Cr 2.8325 2.0166 2.0166
Cr 1.4162 2.0166 4.0080
Cr 1.4162 2.0792 0.0000
Ru 0.0000 0.0000 0.0000
```

Calculated values
DFT formation energy = 0.73 kcal/mol of atoms
DOS(E_F) = 7.24 states/eV/cell
total magnetization = 0.000 μB per atom
space group = I4/mmm (139)


Record 9
# CrRu5

CrRu5 at its PBEsol-relaxed geometry (SCAN, the Alexandria database).

Geometry as extended XYZ:
```
6
Lattice="-2.3816 1.1316 -0.4472 0.6389 -0.2947 -4.1484 -1.7750 -6.8128 0.2107" Properties=species:S:1:pos:R:3 pbc="T T T"
Ru -3.1922 -4.4700 -2.3079
Ru -1.9951 -4.2024 -0.0087
Ru -0.9962 -2.9186 -2.0799
Ru -2.1660 -1.4883 -0.2279
Cr -4.1543 -5.6763 -0.2365
Ru -1.1871 -0.2467 -2.2992
```

Calculated values
DFT formation energy = 0.53 kcal/mol of atoms
DOS(E_F) = 5.48 states/eV/cell
total magnetization = 0.000 μB per atom
space group = Amm2 (38)


Record 10
# Cr5Ru

Cr5Ru at its PBEsol-relaxed geometry (SCAN, the Alexandria database).

Geometry as extended XYZ:
```
6
Lattice="2.8400 0.0000 0.0000 -1.4200 4.4988 0.0074 0.0000 -1.8314 5.4247" Properties=species:S:1:pos:R:3 pbc="T T T"
Cr 0.0000 -0.9157 2.7123
Cr 1.4200 0.8968 1.8706
Ru 0.0000 0.0000 0.0000
Cr 0.0000 2.6179 0.9459
Cr 1.4200 0.0495 4.4862
Cr 0.0000 1.7706 3.5615
```

Calculated values
DFT formation energy = 1.07 kcal/mol of atoms
DOS(E_F) = 5.78 states/eV/cell
total magnetization = 0.000 μB per atom
space group = C2/m (12)


Record 11
# CrRu5

CrRu5 at its PBEsol-relaxed geometry (SCAN, the Alexandria database).

Geometry as extended XYZ:
```
6
Lattice="-2.1606 0.1745 -1.5637 -1.0308 -3.5714 3.3102 -1.7237 5.2208 2.9645" Properties=species:S:1:pos:R:3 pbc="T T T"
Cr -4.9094 1.8238 4.7029
Ru -2.1167 -1.2993 2.7798
Ru -3.6423 3.4921 3.1382
Ru -1.2924 2.8181 2.1004
Ru -2.5737 1.1695 3.6868
Ru -2.3513 0.6569 1.0380
```

Calculated values
DFT formation energy = 0.30 kcal/mol of atoms
DOS(E_F) = 4.91 states/eV/cell
total magnetization = 0.000 μB per atom
space group = Cm (8)


Record 12
# Cr2Ru

Cr2Ru at its PBEsol-relaxed geometry (SCAN, the Alexandria database).

Geometry as extended XYZ:
```
6
Lattice="-1.2102 1.1643 -4.3392 -1.4247 -3.2796 -2.9773 -4.4643 -0.1825 -1.2985" Properties=species:S:1:pos:R:3 pbc="T T T"
Cr -2.2048 -1.3448 -4.7351
Ru 0.0000 0.0000 0.0000
Cr -3.7246 0.2037 -3.8957
Ru -1.7748 -0.5744 -2.1537
Cr -3.8319 -2.0183 -3.2147
Cr -4.4370 -1.4361 -5.3844
```

Calculated values
DFT formation energy = 0.69 kcal/mol of atoms
DOS(E_F) = 4.44 states/eV/cell
total magnetization = 0.000 μB per atom
space group = Fd-3m (227)


Record 13
# Cr2Ru

Cr2Ru at its PBEsol-relaxed geometry (SCAN, the Alexandria database).

Geometry as extended XYZ:
```
24
Lattice="4.6625 0.0000 0.0000 -2.3313 4.0379 0.0000 0.0000 0.0000 15.1431" Properties=species:S:1:pos:R:3 pbc="T T T"
Ru 0.0000 0.0000 8.9978
Cr 1.1656 2.0189 7.5715
Cr 3.5221 0.6584 3.7858
Cr 0.0000 1.3169 11.3573
Ru 0.0000 0.0000 13.7168
Cr 1.1404 0.6584 3.7858
Ru 0.0000 2.6919 5.2041
Cr -1.1908 3.3795 11.3573
Cr 1.1656 2.0189 0.0000
Cr 2.3313 0.0000 0.0000
Cr 0.0000 2.6919 13.2621
Ru 2.3313 1.3460 9.9389
Cr -1.1656 2.0189 0.0000
Cr 2.3313 1.3460 5.6906
Ru 0.0000 0.0000 6.1452
Ru 0.0000 2.6919 2.3674
Cr 1.1908 3.3795 11.3573
Cr 2.3313 0.0000 7.5715
Ru 2.3313 1.3460 12.7757
Cr 2.3313 1.3460 1.8809
Cr 0.0000 2.6919 9.4525
Cr 2.3313 2.7210 3.7858
Ru 0.0000 0.0000 1.4263
Cr -1.1656 2.0189 7.5715
```

Calculated values
DFT formation energy = 1.27 kcal/mol of atoms
DOS(E_F) = 20.21 states/eV/cell
total magnetization = 0.000 μB per atom
space group = P6_3/mmc (194)


Record 14
# Cr5Ru

Cr5Ru at its PBEsol-relaxed geometry (SCAN, the Alexandria database).

Geometry as extended XYZ:
```
6
Lattice="-0.8582 1.6660 2.1455 -0.1008 -3.2324 2.4696 6.1466 0.1518 0.4496" Properties=species:S:1:pos:R:3 pbc="T T T"
Cr 1.9476 -1.2721 1.7668
Cr 3.2400 -0.1426 3.2979
Cr 1.4630 1.1589 1.5765
Cr 0.0000 0.0000 0.0000
Ru -0.4795 -0.7832 2.3076
Cr 3.8254 0.6589 1.0186
```

Calculated values
DFT formation energy = 1.34 kcal/mol of atoms
DOS(E_F) = 5.58 states/eV/cell
total magnetization = 0.000 μB per atom
space group = Cmmm (65)


Record 15
# CrRuS3

CrRuS3 at its PBEsol-relaxed geometry (SCAN, the Alexandria database).

Geometry as extended XYZ:
```
5
Lattice="-1.3796 4.0928 1.4353 -3.6413 -0.2748 -2.7165 -2.3562 -1.9717 3.3578" Properties=species:S:1:pos:R:3 pbc="T T T"
Ru 0.0000 0.0000 0.0000
Cr -3.6886 0.9232 1.0382
S -0.6898 2.0464 0.7176
S -1.8207 -0.1374 -1.3583
S -1.1781 -0.9859 1.6789
```

Calculated values
energy relative to the elements, uncorrected = 0.349 eV per atom
DOS(E_F) = 3.50 states/eV/cell
total magnetization = 0.331 μB per atom
space group = Pm-3m (221)


Record 16
# CrSbRu2

CrSbRu2 at its PBEsol-relaxed geometry (SCAN, the Alexandria database).

Geometry as extended XYZ:
```
4
Lattice="-0.1922 1.6327 -2.4251 -3.5820 0.8532 0.8583 1.6889 4.3084 2.7652" Properties=species:S:1:pos:R:3 pbc="T T T"
Sb 0.6847 3.8690 -0.9888
Ru 0.0613 0.1570 0.0998
Cr -1.5334 2.1458 -0.2048
Ru -0.6457 4.4094 1.2497
```

Calculated values
energy relative to the elements, uncorrected = 0.133 eV per atom
DOS(E_F) = 2.93 states/eV/cell
total magnetization = 0.645 μB per atom
space group = Pmm2 (25)


Record 17
# CrSbRu2

CrSbRu2 at its PBEsol-relaxed geometry (SCAN, the Alexandria database).

Geometry as extended XYZ:
```
4
Lattice="-3.8029 -0.2326 0.2057 -0.0919 -1.5711 -3.4758 2.2585 -2.7366 3.2714" Properties=species:S:1:pos:R:3 pbc="T T T"
Ru 0.0000 0.0000 0.0000
Ru -1.7459 -1.9356 0.9210
Cr 0.1096 -2.6048 -0.9197
Sb -1.9474 -0.9019 -1.6351
```

Calculated values
energy relative to the elements, uncorrected = 0.024 eV per atom
DOS(E_F) = 2.26 states/eV/cell
total magnetization = 0.627 μB per atom
space group = I-4m2 (119)


Record 18
# CrSb2Ru

CrSb2Ru at its PBEsol-relaxed geometry (SCAN, the Alexandria database).

Geometry as extended XYZ:
```
4
Lattice="-1.1834 2.5491 -1.6063 1.6551 -1.3541 -3.3683 -4.6047 -2.8432 -1.1196" Properties=species:S:1:pos:R:3 pbc="T T T"
Sb -1.1825 -0.2783 -2.8322
Sb -4.3403 -2.6800 -1.0553
Cr -2.1042 -1.2993 -0.5116
Ru -3.4131 -1.6556 -3.3745
```

Calculated values
energy relative to the elements, uncorrected = 0.069 eV per atom
DOS(E_F) = 1.84 states/eV/cell
total magnetization = 0.830 μB per atom
space group = Pmm2 (25)


Record 19
# CrSbRu2

CrSbRu2 at its PBEsol-relaxed geometry (SCAN, the Alexandria database).

Geometry as extended XYZ:
```
4
Lattice="-0.8838 -2.8678 -0.1485 2.8496 -0.7021 -3.3989 2.7171 0.5334 3.9240" Properties=species:S:1:pos:R:3 pbc="T T T"
Sb 0.8788 -1.7623 -1.5919
Ru 4.4174 -2.9607 0.4934
Cr 3.4749 -1.0281 -0.8253
Ru 1.5778 -2.1069 0.9034
```

Calculated values
energy relative to the elements, uncorrected = 0.053 eV per atom
DOS(E_F) = 3.05 states/eV/cell
total magnetization = 0.514 μB per atom
space group = Cm (8)


Record 20
# CrSb2Ru

CrSb2Ru at its PBEsol-relaxed geometry (SCAN, the Alexandria database).

Geometry as extended XYZ:
```
4
Lattice="-2.5812 1.3356 -3.4508 -4.4948 -0.0879 0.3788 -2.3163 3.8615 0.2779" Properties=species:S:1:pos:R:3 pbc="T T T"
Sb -2.3481 1.2773 -0.6985
Cr -4.6961 2.5546 -1.3970
Ru 0.0000 0.0000 0.0000
Sb -7.0442 3.8319 -2.0955
```

Calculated values
energy relative to the elements, uncorrected = 0.288 eV per atom
DOS(E_F) = 1.57 states/eV/cell
total magnetization = 0.000 μB per atom
space group = Fm-3m (225)


Record 21
# CrSb2Ru

CrSb2Ru at its PBEsol-relaxed geometry (SCAN, the Alexandria database).

Geometry as extended XYZ:
```
4
Lattice="-2.6729 3.7503 0.8947 -0.8732 1.2538 4.4356 1.9356 3.8937 1.7614" Properties=species:S:1:pos:R:3 pbc="T T T"
Sb -1.2078 6.6733 5.3188
Ru -0.4026 2.2244 1.7729
Cr -0.8052 4.4489 3.5458
Sb 0.0000 0.0000 0.0000
```

Calculated values
energy relative to the elements, uncorrected = 0.532 eV per atom
DOS(E_F) = 2.40 states/eV/cell
total magnetization = 0.998 μB per atom
space group = F-43m (216)


Record 22
# Cr2SbRu

Cr2SbRu at its PBEsol-relaxed geometry (SCAN, the Alexandria database).

Geometry as extended XYZ:
```
4
Lattice="2.8454 0.0000 0.0000 1.4227 2.4642 0.0000 1.4227 0.8214 8.2185" Properties=species:S:1:pos:R:3 pbc="T T T"
Cr 4.2680 2.4642 6.0546
Sb 0.0000 0.0000 0.0000
Cr 1.4227 0.8214 2.1639
Ru 2.8454 1.6428 4.1092
```

Calculated values
energy relative to the elements, uncorrected = 0.662 eV per atom
DOS(E_F) = 4.53 states/eV/cell
total magnetization = 0.002 μB per atom
space group = R-3m (166)


Record 23
# ScCr2Ru

ScCr2Ru at its PBEsol-relaxed geometry (SCAN, the Alexandria database).

Geometry as extended XYZ:
```
4
Lattice="2.7051 0.0000 0.0024 0.0000 4.2086 0.0000 -1.1067 0.0000 4.7594" Properties=species:S:1:pos:R:3 pbc="T T T"
Cr 1.1712 0.0000 3.6053
Sc -0.5533 2.1043 2.3797
Ru 1.3525 2.1043 0.0012
Cr 0.4273 0.0000 1.1566
```

Calculated values
DFT formation energy = 4.45 kcal/mol of atoms
DOS(E_F) = 2.99 states/eV/cell
total magnetization = 0.000 μB per atom
space group = P2/m (10)


Record 24
# ScCr2Ru

ScCr2Ru at its PBEsol-relaxed geometry (SCAN, the Alexandria database).

Geometry as extended XYZ:
```
4
Lattice="2.7251 0.0000 0.0000 1.3626 2.3600 0.0000 1.3626 0.7867 8.6250" Properties=species:S:1:pos:R:3 pbc="T T T"
Cr 4.0877 2.3600 6.6191
Ru 0.0000 0.0000 0.0000
Cr 1.3626 0.7867 2.0059
Sc 2.7251 1.5733 4.3125
```

Calculated values
DFT formation energy = 11.82 kcal/mol of atoms
DOS(E_F) = 4.66 states/eV/cell
total magnetization = 0.000 μB per atom
space group = R-3m (166)


Record 25
# SrScCr2Ru

SrScCr2Ru at its PBEsol-relaxed geometry (SCAN, the Alexandria database).

Geometry as extended XYZ:
```
5
Lattice="4.6112 0.0000 0.0000 0.0000 5.0178 0.0000 0.0000 0.0000 5.0178" Properties=species:S:1:pos:R:3 pbc="T T T"
Sc 0.0000 0.0000 0.0000
Ru 2.3056 0.0000 0.0000
Cr 0.0000 2.5089 0.0000
Cr 0.0000 0.0000 2.5089
Sr 2.3056 2.5089 2.5089
```

Calculated values
DFT formation energy = 20.42 kcal/mol of atoms
DOS(E_F) = 3.29 states/eV/cell
total magnetization = 1.785 μB per atom
space group = P4/mmm (123)


Record 26
# Cr2RuSe

Cr2RuSe at its PBEsol-relaxed geometry (SCAN, the Alexandria database).

Geometry as extended XYZ:
```
4
Lattice="2.8004 0.0000 0.0000 1.4002 2.4252 0.0000 1.4002 0.8084 7.7591" Properties=species:S:1:pos:R:3 pbc="T T T"
Cr 4.2006 2.4252 5.8967
Cr 1.4002 0.8084 7.7262
Se 1.4002 0.8084 1.7652
Ru 2.8004 1.6168 4.0097
```

Calculated values
energy relative to the elements, uncorrected = 0.386 eV per atom
DOS(E_F) = 4.81 states/eV/cell
total magnetization = 0.001 μB per atom
space group = R3m (160)


Record 27
# CrSiRu2

CrSiRu2 at its PBEsol-relaxed geometry (SCAN, the Alexandria database).

Geometry as extended XYZ:
```
4
Lattice="-0.6703 1.3600 -2.3402 -2.6695 0.0661 0.8030 1.0152 5.5247 2.9199" Properties=species:S:1:pos:R:3 pbc="T T T"
Ru -1.3883 2.2457 0.0414
Ru 0.9980 5.4313 2.8705
Si 0.5141 2.7977 1.4786
Cr -0.9256 4.7633 1.3720
```

Calculated values
energy relative to the elements, uncorrected = -0.183 eV per atom
DOS(E_F) = 3.53 states/eV/cell
total magnetization = 0.000 μB per atom
space group = P4mm (99)